1.
Entry from Alexandria via LeMat-Bulk: crystalline YTiCu at its relaxed geometry (PBE-GGA).

Calculated values
DOS(E_F) (states/eV per cell): 8.8
V (Å³ per atom): 20.144
Relative energy among the computed polymorphs (eV/atom): 0.087
M_tot (μB/cell): 0.00
Formation enthalpy at 0 K (eV per atom): 0.05

```
data_YTiCu
_chemical_formula_sum 'Y2 Ti2 Cu2'
_cell_length_a 5.6624
_cell_length_b 4.4729
_cell_length_c 5.6594
_cell_angle_alpha 66.71
_cell_angle_beta 97.15
_cell_angle_gamma 113.27
_symmetry_space_group_name_H-M 'P 1'
_symmetry_Int_Tables_number 1
loop_
_symmetry_equiv_pos_as_xyz
'x,y,z'
loop_
_atom_site_label
_atom_site_fract_x
_atom_site_fract_y
_atom_site_fract_z
_atom_site_occupancy
Cu1 0.1208 0.2965 0.2737 1
Cu2 0.4810 0.6558 0.9143 1
Y1 0.0739 0.9761 0.8668 1
Y2 0.6929 0.4760 0.4858 1
Ti1 0.2878 0.7891 0.4549 1
Ti2 0.6621 0.1631 0.0806 1
```

2.
Entry from Alexandria via LeMat-Bulk: crystalline Mn4RuCl at its relaxed geometry (PBE-GGA).

Calculated values
DOS(E_F) (states/eV per cell): 9.7
V (Å³ per atom): 13.371
E_form (uncorrected) (eV/atom): 0.817
M_tot (μB/cell): 7.80

```
data_Mn4RuCl
_chemical_formula_sum 'Mn4 Ru1 Cl1'
_cell_length_a 4.8411
_cell_length_b 4.8411
_cell_length_c 4.8411
_cell_angle_alpha 60.00
_cell_angle_beta 60.00
_cell_angle_gamma 60.00
_symmetry_space_group_name_H-M 'P 1'
_symmetry_Int_Tables_number 1
loop_
_symmetry_equiv_pos_as_xyz
'x,y,z'
loop_
_atom_site_label
_atom_site_fract_x
_atom_site_fract_y
_atom_site_fract_z
_atom_site_occupancy
Mn1 0.3757 0.8730 0.3757 1
Mn2 0.8730 0.3757 0.3757 1
Mn3 0.3757 0.3757 0.8730 1
Mn4 0.3757 0.3757 0.3757 1
Ru1 0.7500 0.7500 0.7500 1
Cl1 0.0000 0.0000 0.0000 1
```

3.
Entry from Alexandria via LeMat-Bulk: crystalline CaSiSbAs2 at its relaxed geometry (PBE-GGA).

Calculated values
DOS(E_F) (states/eV per cell): 4.5
V (Å³ per atom): 29.564
E_form (uncorrected) (eV/atom): 0.988
M_tot (μB/cell): 0.00

```
data_CaSiSbAs2
_chemical_formula_sum 'Ca1 Si1 Sb1 As2'
_cell_length_a 5.2990
_cell_length_b 5.2645
_cell_length_c 5.2990
_cell_angle_alpha 90.00
_cell_angle_beta 90.00
_cell_angle_gamma 90.00
_symmetry_space_group_name_H-M 'P 1'
_symmetry_Int_Tables_number 1
loop_
_symmetry_equiv_pos_as_xyz
'x,y,z'
loop_
_atom_site_label
_atom_site_fract_x
_atom_site_fract_y
_atom_site_fract_z
_atom_site_occupancy
Sb1 0.5000 0.5000 0.5000 1
As1 0.5000 0.0000 0.0000 1
As2 0.0000 0.0000 0.5000 1
Ca1 0.0000 0.0000 0.0000 1
Si1 0.0000 0.5000 0.0000 1
```

4.
Entry from Alexandria via LeMat-Bulk: crystalline RbV3Sn at its relaxed geometry (PBE-GGA).

Calculated values
DOS(E_F) (states/eV per cell): 6.1
V (Å³ per atom): 18.911
Relative energy among the computed polymorphs (eV/atom): 1.046
M_tot (μB/cell): 0.00
Formation enthalpy at 0 K (eV per atom): 2.38

```
data_RbV3Sn
_chemical_formula_sum 'Rb1 V3 Sn1'
_cell_length_a 4.5558
_cell_length_b 4.5558
_cell_length_c 4.5558
_cell_angle_alpha 90.00
_cell_angle_beta 90.00
_cell_angle_gamma 90.00
_symmetry_space_group_name_H-M 'P 1'
_symmetry_Int_Tables_number 1
loop_
_symmetry_equiv_pos_as_xyz
'x,y,z'
loop_
_atom_site_label
_atom_site_fract_x
_atom_site_fract_y
_atom_site_fract_z
_atom_site_occupancy
V1 0.0000 0.0000 0.5000 1
V2 0.5000 0.0000 0.0000 1
V3 0.0000 0.5000 0.0000 1
Sn1 0.5000 0.5000 0.5000 1
Rb1 0.0000 0.0000 0.0000 1
```

5.
Entry from Alexandria via LeMat-Bulk: crystalline ZrTc4W at its relaxed geometry (PBE-GGA).

Calculated values
DOS(E_F) (states/eV per cell): 7.6
V (Å³ per atom): 16.349
M_tot (μB/cell): 0.00
Formation enthalpy at 0 K (eV per atom): 0.00

```
data_ZrTc4W
_chemical_formula_sum 'Zr1 Tc4 W1'
_cell_length_a 5.1767
_cell_length_b 5.1767
_cell_length_c 5.1767
_cell_angle_alpha 60.00
_cell_angle_beta 60.00
_cell_angle_gamma 60.00
_symmetry_space_group_name_H-M 'P 1'
_symmetry_Int_Tables_number 1
loop_
_symmetry_equiv_pos_as_xyz
'x,y,z'
loop_
_atom_site_label
_atom_site_fract_x
_atom_site_fract_y
_atom_site_fract_z
_atom_site_occupancy
Tc1 0.8766 0.3745 0.3745 1
Tc2 0.3745 0.3745 0.3745 1
Tc3 0.3745 0.3745 0.8766 1
Tc4 0.3745 0.8766 0.3745 1
W1 0.7500 0.7500 0.7500 1
Zr1 0.0000 0.0000 0.0000 1
```

6.
Entry from Alexandria via LeMat-Bulk: crystalline Ac2In4PbAu3 at its relaxed geometry (PBE-GGA).

Calculated values
DOS(E_F) (states/eV per cell): 4.3
V (Å³ per atom): 26.817
M_tot (μB/cell): 0.00
Formation enthalpy at 0 K (eV per atom): -0.50

```
data_Ac2In4PbAu3
_chemical_formula_sum 'Ac2 In4 Pb1 Au3'
_cell_length_a 4.7398
_cell_length_b 4.7398
_cell_length_c 11.9368
_cell_angle_alpha 90.00
_cell_angle_beta 90.00
_cell_angle_gamma 90.00
_symmetry_space_group_name_H-M 'P 1'
_symmetry_Int_Tables_number 1
loop_
_symmetry_equiv_pos_as_xyz
'x,y,z'
loop_
_atom_site_label
_atom_site_fract_x
_atom_site_fract_y
_atom_site_fract_z
_atom_site_occupancy
In1 0.0000 0.5000 0.3550 1
In2 0.5000 0.5000 0.0000 1
In3 0.5000 0.0000 0.6450 1
In4 0.0000 0.0000 0.0000 1
Au1 0.0000 0.5000 0.1304 1
Au2 0.0000 0.0000 0.5000 1
Au3 0.5000 0.0000 0.8696 1
Ac1 0.5000 0.0000 0.2424 1
Ac2 0.0000 0.5000 0.7576 1
Pb1 0.5000 0.5000 0.5000 1
```

7.
Entry from Alexandria via LeMat-Bulk: crystalline TaZnOs at its relaxed geometry (PBE-GGA).

Calculated values
DOS(E_F) (states/eV per cell): 2.0
V (Å³ per atom): 15.622
Relative energy among the computed polymorphs (eV/atom): 0.039
M_tot (μB/cell): 0.00
Formation enthalpy at 0 K (eV per atom): -0.03

```
data_TaZnOs
_chemical_formula_sum 'Ta1 Zn1 Os1'
_cell_length_a 4.3872
_cell_length_b 4.3872
_cell_length_c 2.8116
_cell_angle_alpha 90.00
_cell_angle_beta 90.00
_cell_angle_gamma 120.00
_symmetry_space_group_name_H-M 'P 1'
_symmetry_Int_Tables_number 1
loop_
_symmetry_equiv_pos_as_xyz
'x,y,z'
loop_
_atom_site_label
_atom_site_fract_x
_atom_site_fract_y
_atom_site_fract_z
_atom_site_occupancy
Zn1 0.3333 0.6667 0.7468 1
Os1 0.0000 0.0000 0.9558 1
Ta1 0.6667 0.3333 0.2974 1
```

8.
Entry from Alexandria via LeMat-Bulk: crystalline AgGeBi2Te4 at its relaxed geometry (PBE-GGA).

Calculated values
DOS(E_F) (states/eV per cell): 3.7
V (Å³ per atom): 30.150
E_form (uncorrected) (eV/atom): -0.100
M_tot (μB/cell): 0.00

```
data_AgGeBi2Te4
_chemical_formula_sum 'Ag1 Ge1 Bi2 Te4'
_cell_length_a 4.3706
_cell_length_b 7.6396
_cell_length_c 7.6436
_cell_angle_alpha 109.08
_cell_angle_beta 90.00
_cell_angle_gamma 90.00
_symmetry_space_group_name_H-M 'P 1'
_symmetry_Int_Tables_number 1
loop_
_symmetry_equiv_pos_as_xyz
'x,y,z'
loop_
_atom_site_label
_atom_site_fract_x
_atom_site_fract_y
_atom_site_fract_z
_atom_site_occupancy
Te1 0.5000 0.2414 0.2299 1
Te2 0.0000 0.7449 0.2308 1
Te3 0.0000 0.2551 0.7692 1
Te4 0.5000 0.7586 0.7701 1
Bi1 0.5000 0.0000 0.5000 1
Bi2 0.0000 0.5000 0.5000 1
Ag1 0.5000 0.5000 0.0000 1
Ge1 0.0000 0.0000 0.0000 1
```

9.
Entry from Alexandria via LeMat-Bulk: crystalline Pr2AlCu3Ge4 at its relaxed geometry (PBE-GGA).

Calculated values
DOS(E_F) (states/eV per cell): 3.3
V (Å³ per atom): 18.557
M_tot (μB/cell): 0.00
Formation enthalpy at 0 K (eV per atom): -0.50

```
data_Pr2AlCu3Ge4
_chemical_formula_sum 'Pr2 Al1 Cu3 Ge4'
_cell_length_a 4.2097
_cell_length_b 4.2097
_cell_length_c 10.4711
_cell_angle_alpha 90.00
_cell_angle_beta 90.00
_cell_angle_gamma 90.00
_symmetry_space_group_name_H-M 'P 1'
_symmetry_Int_Tables_number 1
loop_
_symmetry_equiv_pos_as_xyz
'x,y,z'
loop_
_atom_site_label
_atom_site_fract_x
_atom_site_fract_y
_atom_site_fract_z
_atom_site_occupancy
Ge1 0.0000 0.0000 0.0000 1
Ge2 0.5000 0.0000 0.6421 1
Ge3 0.5000 0.5000 0.0000 1
Ge4 0.0000 0.5000 0.3579 1
Cu1 0.0000 0.0000 0.5000 1
Cu2 0.5000 0.0000 0.8717 1
Cu3 0.0000 0.5000 0.1283 1
Al1 0.5000 0.5000 0.5000 1
Pr1 0.5000 0.0000 0.2442 1
Pr2 0.0000 0.5000 0.7558 1
```

10.
Entry from Alexandria via LeMat-Bulk: crystalline NaSm3Ho2S6 at its relaxed geometry (PBE-GGA).

Calculated values
DOS(E_F) (states/eV per cell): 4.5
V (Å³ per atom): 22.030
E_form (uncorrected) (eV/atom): -1.946
M_tot (μB/cell): 0.00

```
data_NaSm3Ho2S6
_chemical_formula_sum 'Na1 Sm3 Ho2 S6'
_cell_length_a 6.8496
_cell_length_b 6.8496
_cell_length_c 6.9043
_cell_angle_alpha 99.54
_cell_angle_beta 99.54
_cell_angle_gamma 120.10
_symmetry_space_group_name_H-M 'P 1'
_symmetry_Int_Tables_number 1
loop_
_symmetry_equiv_pos_as_xyz
'x,y,z'
loop_
_atom_site_label
_atom_site_fract_x
_atom_site_fract_y
_atom_site_fract_z
_atom_site_occupancy
Sm1 0.5000 0.5000 0.5000 1
Sm2 0.8377 0.1623 0.5000 1
Sm3 0.1623 0.8377 0.5000 1
S1 0.9195 0.5822 0.7573 1
S2 0.0805 0.4178 0.2427 1
S3 0.5822 0.9195 0.7573 1
S4 0.7435 0.7435 0.2364 1
S5 0.4178 0.0805 0.2427 1
S6 0.2565 0.2565 0.7636 1
Ho1 0.3343 0.6657 0.0000 1
Ho2 0.6657 0.3343 0.0000 1
Na1 0.0000 0.0000 0.0000 1
```

11.
Entry from Alexandria via LeMat-Bulk: crystalline SiCSe2N at its relaxed geometry (PBE-GGA).

Calculated values
DOS(E_F) (states/eV per cell): 1.9
V (Å³ per atom): 17.414
E_form (uncorrected) (eV/atom): 0.766
Relative energy among the computed polymorphs (eV/atom): 0.000
M_tot (μB/cell): 0.00

```
data_SiCSe2N
_chemical_formula_sum 'Si1 C1 Se2 N1'
_cell_length_a 5.9147
_cell_length_b 5.9147
_cell_length_c 2.4889
_cell_angle_alpha 90.00
_cell_angle_beta 90.00
_cell_angle_gamma 90.00
_symmetry_space_group_name_H-M 'P 1'
_symmetry_Int_Tables_number 1
loop_
_symmetry_equiv_pos_as_xyz
'x,y,z'
loop_
_atom_site_label
_atom_site_fract_x
_atom_site_fract_y
_atom_site_fract_z
_atom_site_occupancy
Se1 0.0000 0.5000 0.0000 1
Se2 0.5000 0.0000 0.0000 1
C1 0.0000 0.0000 0.0000 1
Si1 0.5000 0.5000 0.5000 1
N1 0.0000 0.0000 0.5000 1
```

12.
Entry from Alexandria via LeMat-Bulk: crystalline LiSc3N at its relaxed geometry (PBE-GGA).

Calculated values
DOS(E_F) (states/eV per cell): 5.7
V (Å³ per atom): 18.083
E_form (uncorrected) (eV/atom): -0.655
Relative energy among the computed polymorphs (eV/atom): 0.000
M_tot (μB/cell): 1.28

```
data_LiSc3N
_chemical_formula_sum 'Li1 Sc3 N1'
_cell_length_a 4.4883
_cell_length_b 4.4883
_cell_length_c 4.4883
_cell_angle_alpha 90.00
_cell_angle_beta 90.00
_cell_angle_gamma 90.00
_symmetry_space_group_name_H-M 'P 1'
_symmetry_Int_Tables_number 1
loop_
_symmetry_equiv_pos_as_xyz
'x,y,z'
loop_
_atom_site_label
_atom_site_fract_x
_atom_site_fract_y
_atom_site_fract_z
_atom_site_occupancy
Li1 0.5000 0.5000 0.5000 1
Sc1 0.0000 0.0000 0.5000 1
Sc2 0.0000 0.5000 0.0000 1
Sc3 0.5000 0.0000 0.0000 1
N1 0.0000 0.0000 0.0000 1
```